[1]
This record from the Alexandria database describes Th2GaCo after structural relaxation. The functional is PBE.

a b c (Å): 3.8272 3.8272 9.7100
angles (deg): 78.63 78.63 60.00
Closest atoms and distances in Å follow each position.
Positions (direct):
Co 0.5000 0.5000 0.5000  6 Th 2.70
Ga 0.0000 0.0000 0.0000  2 Th 3.17
Th 0.1118 0.1118 0.6647  3 Co 2.70
Th 0.8882 0.8882 0.3353  3 Co 2.70

Computed properties:
energy of formation from the pure elements: 99 meV/atom
calculated volume: 120 Å³ per cell
size of the total moment: 0.00 μB per atom

[2]
This record from the Alexandria database describes HfZrTcBi2 after structural relaxation. The functional is PBE.

a b c (Å): 5.2785 4.8928 5.2785
angles (deg): 90.00 90.00 90.00
Closest atoms and distances in Å follow each position.
Positions (direct):
Hf 0.0000 0.5000 0.0000  2 Tc 2.45
Bi 0.0000 0.0000 0.5000  2 Tc 2.64
Bi 0.5000 0.0000 0.0000  2 Tc 2.64
Zr 0.5000 0.5000 0.5000  8 Bi 3.60, 4 Hf 3.73
Tc 0.0000 0.0000 0.0000  2 Hf 2.45, 4 Bi 2.64

Computed properties:
energy of formation from the pure elements: 749 meV/atom
calculated volume: 136 Å³ per cell
size of the total moment: 0.09 μB per atom

[3]
This record from the Alexandria database describes BaPrMgCd after structural relaxation. The functional is PBE.

a b c (Å): 5.7778 5.7778 5.7778
angles (deg): 60.00 60.00 60.00
Closest atoms and distances in Å follow each position.
Positions (direct):
Pr 0.5000 0.5000 0.5000  4 Cd 3.54, 4 Mg 3.54
Mg 0.2500 0.2500 0.2500  4 Ba 3.54, 4 Pr 3.54
Ba 0.0000 0.0000 0.0000  4 Mg 3.54, 4 Cd 3.54
Cd 0.7500 0.7500 0.7500  4 Pr 3.54, 4 Ba 3.54

Computed properties:
energy of formation from the pure elements: -114 meV/atom
calculated volume: 136 Å³ per cell
size of the total moment: 0.00 μB per atom

[4]
This record from the Alexandria database describes KTl4HgPb after structural relaxation. The functional is PBE.

a b c (Å): 6.4636 6.4636 13.1980
angles (deg): 74.60 74.60 60.28
Closest atoms and distances in Å follow each position.
Positions (direct):
K 0.9829 0.9829 0.3456  1 Hg 3.49, 4 Tl 3.66-3.77, 4 Pb 3.74-3.82
K 0.0171 0.0171 0.6544  1 Hg 3.49, 4 Tl 3.66-3.77, 4 Pb 3.74-3.82
Tl 0.3836 0.3836 0.6194  2 Pb 3.24-3.51, 3 Tl 3.37-3.42
Tl 0.6164 0.6164 0.3806  2 Pb 3.24-3.51, 3 Tl 3.37-3.42
Tl 0.0660 0.5584 0.1729  5 Tl 3.20-3.42, 1 Pb 3.44, 3 Hg 3.45-3.49
Tl 0.5938 0.5938 0.0869  3 Hg 3.25-3.41, 7 Tl 3.40-3.63
Tl 0.4416 0.9340 0.8271  5 Tl 3.20-3.42, 1 Pb 3.44, 3 Hg 3.45-3.49
Tl 0.5584 0.0660 0.1729  5 Tl 3.20-3.42, 1 Pb 3.44, 3 Hg 3.45-3.49
Tl 0.4062 0.4062 0.9131  3 Hg 3.25-3.41, 7 Tl 3.40-3.63
Tl 0.9340 0.4416 0.8271  5 Tl 3.20-3.42, 1 Pb 3.44, 3 Hg 3.45-3.49
Hg 0.0995 0.0995 0.0681  9 Tl 3.25-3.49, 1 Hg 3.26, 1 K 3.49
Hg 0.9005 0.9005 0.9319  9 Tl 3.25-3.49, 1 Hg 3.26, 1 K 3.49
Pb 0.7056 0.7056 0.5921  4 Tl 3.24-3.51
Pb 0.2944 0.2944 0.4079  4 Tl 3.24-3.51

Computed properties:
energy of formation from the pure elements: -41 meV/atom
calculated volume: 456 Å³ per cell
size of the total moment: 0.00 μB per atom

[5]
This record from the Alexandria database describes Zr2CuHg after structural relaxation. The functional is PBE.

a b c (Å): 4.8662 4.8662 5.8162
angles (deg): 79.41 79.41 38.70
Closest atoms and distances in Å follow each position.
Positions (direct):
Cu 0.7500 0.7500 0.7500  6 Zr 2.85-2.90
Hg 0.2500 0.2500 0.2500  6 Zr 3.00-3.05, 2 Hg 3.23, 4 Cu 3.33
Zr 0.0068 0.0068 0.9722  3 Cu 2.85-2.90, 3 Hg 3.00-3.05, 2 Zr 3.07
Zr 0.4932 0.4932 0.5278  3 Cu 2.85-2.90, 3 Hg 3.00-3.05, 2 Zr 3.07

Computed properties:
energy of formation from the pure elements: 85 meV/atom
calculated volume: 84 Å³ per cell
size of the total moment: 0.00 μB per atom

[6]
This record from the Alexandria database describes SnTe2CN after structural relaxation. The functional is PBE.

a b c (Å): 5.8277 5.8277 3.9168
angles (deg): 90.00 90.00 90.00
Closest atoms and distances in Å follow each position.
Positions (direct):
C 0.5000 0.5000 0.5000  8 Te 3.51, 2 C 3.92
Te 0.0000 0.5000 0.0000  2 Sn 2.91
Te 0.5000 0.0000 0.0000  2 Sn 2.91
Sn 0.0000 0.0000 0.0000  2 N 1.96
N 0.0000 0.0000 0.5000  2 Sn 1.96

Computed properties:
formation energy without anion corrections: 2.127 eV per atom
calculated volume: 133 Å³ per cell
size of the total moment: 0.09 μB per atom

[7]
This record from the Alexandria database describes BaZn9Au4 after structural relaxation. The functional is PBE.

a b c (Å): 8.8761 8.8761 8.9756
angles (deg): 119.63 119.63 90.00
Closest atoms and distances in Å follow each position.
Positions (direct):
Ba 0.7500 0.7500 0.5000  16 Zn 3.65-3.71, 8 Au 3.66
Ba 0.2500 0.2500 0.5000  16 Zn 3.65-3.71, 8 Au 3.66
Zn 0.0661 0.1981 0.0000  5 Zn 2.62-2.86, 4 Au 2.77-2.89
Zn 0.9339 0.8019 0.0000  5 Zn 2.62-2.86, 4 Au 2.77-2.89
Zn 0.5661 0.3019 0.0000  5 Zn 2.62-2.86, 4 Au 2.77-2.89
Zn 0.4339 0.6981 0.0000  5 Zn 2.62-2.86, 4 Au 2.77-2.89
Zn 0.3019 0.4339 0.0000  5 Zn 2.62-2.86, 4 Au 2.77-2.89
Zn 0.6981 0.5661 0.0000  5 Zn 2.62-2.86, 4 Au 2.77-2.89
Zn 0.1981 0.9339 0.0000  5 Zn 2.62-2.86, 4 Au 2.77-2.89
Zn 0.8019 0.0661 0.0000  5 Zn 2.62-2.86, 4 Au 2.77-2.89
Zn 0.0000 0.5000 0.0000  4 Au 2.71, 8 Zn 2.74-2.75
Zn 0.5000 0.0000 0.0000  4 Au 2.71, 8 Zn 2.74-2.75
Zn 0.7995 0.2995 0.3595  4 Au 2.65-2.78, 5 Zn 2.75-2.86
Zn 0.5601 0.0601 0.3595  4 Au 2.65-2.78, 5 Zn 2.75-2.86
Zn 0.9399 0.2005 0.6405  4 Au 2.65-2.78, 5 Zn 2.75-2.86
Zn 0.7005 0.4399 0.6405  4 Au 2.65-2.78, 5 Zn 2.75-2.86
Zn 0.2005 0.7005 0.6405  4 Au 2.65-2.78, 5 Zn 2.75-2.86
Zn 0.4399 0.9399 0.6405  4 Au 2.65-2.78, 5 Zn 2.75-2.86
Zn 0.2995 0.5601 0.3595  4 Au 2.65-2.78, 5 Zn 2.75-2.86
Zn 0.0601 0.7995 0.3595  4 Au 2.65-2.78, 5 Zn 2.75-2.86
Au 0.2986 0.7986 0.2436  9 Zn 2.65-2.89
Au 0.9450 0.4450 0.2436  9 Zn 2.65-2.89
Au 0.5550 0.7014 0.7564  9 Zn 2.65-2.89
Au 0.2014 0.0550 0.7564  9 Zn 2.65-2.89
Au 0.7014 0.2014 0.7564  9 Zn 2.65-2.89
Au 0.0550 0.5550 0.7564  9 Zn 2.65-2.89
Au 0.7986 0.9450 0.2436  9 Zn 2.65-2.89
Au 0.4450 0.2986 0.2436  9 Zn 2.65-2.89

Computed properties:
energy of formation from the pure elements: -318 meV/atom
calculated volume: 506 Å³ per cell
size of the total moment: 0.00 μB per atom

[8]
This record from the Alexandria database describes ScHC2N after structural relaxation. The functional is PBE.

a b c (Å): 3.9836 3.9836 2.6439
angles (deg): 90.00 90.00 90.00
Closest atoms and distances in Å follow each position.
Positions (direct):
Sc 0.5000 0.5000 0.5000  8 C 2.39, 2 Sc 2.64
H 0.0000 0.0000 0.5000  2 N 1.32
C 0.0000 0.5000 0.0000  2 N 1.99
C 0.5000 0.0000 0.0000  2 N 1.99
N 0.0000 0.0000 0.0000  2 H 1.32

Computed properties:
calculated volume: 42 Å³ per cell
final energy: -5.8402 eV/atom
size of the total moment: 0.08 μB per atom

> What is the calculated volume in the eighth record?

42 Å³ per cell

Please write out number 6 again, unchanged.
This record from the Alexandria database describes SnTe2CN after structural relaxation. The functional is PBE.

a b c (Å): 5.8277 5.8277 3.9168
angles (deg): 90.00 90.00 90.00
Closest atoms and distances in Å follow each position.
Positions (direct):
C 0.5000 0.5000 0.5000  8 Te 3.51, 2 C 3.92
Te 0.0000 0.5000 0.0000  2 Sn 2.91
Te 0.5000 0.0000 0.0000  2 Sn 2.91
Sn 0.0000 0.0000 0.0000  2 N 1.96
N 0.0000 0.0000 0.5000  2 Sn 1.96

Computed properties:
formation energy without anion corrections: 2.127 eV per atom
calculated volume: 133 Å³ per cell
size of the total moment: 0.09 μB per atom

> What is the calculated volume in the seventh record?

506 Å³ per cell